Entry 1:
Below is Sr2TbThO6 after structural relaxation, with properties calculated at the PBE-GGA level.

Output
The density of states at the Fermi level is 7.076 states/eV/f.u. The value obtained for the total energy is -7.59 eV per atom. The space group is No. 14.

```
data_Sr2TbThO6
_chemical_formula_sum 'Sr4 Tb2 Th2 O12'
_cell_length_a 6.082
_cell_length_b 6.253
_cell_length_c 8.720
_cell_angle_alpha 90.00
_cell_angle_beta 89.69
_cell_angle_gamma 90.00
_symmetry_space_group_name_H-M 'P 1'
_symmetry_Int_Tables_number 1
_symmetry_space_group_name_Hall 'P 1'
loop_
_atom_site_label
_atom_site_type_symbol
_atom_site_fract_x
_atom_site_fract_y
_atom_site_fract_z
Sr1 Sr 0.016 0.953 0.250
Sr2 Sr 0.516 0.547 0.750
Sr3 Sr 0.984 0.047 0.750
Sr4 Sr 0.484 0.453 0.250
Tb1 Tb 0.500 0.000 0.000
Tb2 Tb 0.000 0.500 0.500
Th1 Th 0.500 0.000 0.500
Th2 Th 0.000 0.500 0.000
O1 O 0.299 0.703 0.061
O2 O 0.799 0.797 0.561
O3 O 0.701 0.297 0.939
O4 O 0.201 0.203 0.439
O5 O 0.299 0.704 0.439
O6 O 0.799 0.796 0.939
O7 O 0.701 0.296 0.561
O8 O 0.201 0.204 0.061
O9 O 0.887 0.550 0.250
O10 O 0.387 0.950 0.750
O11 O 0.113 0.450 0.750
O12 O 0.613 0.050 0.250
```



Entry 2:
Below is LiThAsO after structural relaxation, with properties calculated at the PBE-GGA level.

Output
The density of states at the Fermi level is 0.001 states/eV/f.u. The value obtained for the total energy is -6.86 eV per atom. The space group is No. 129.

```
data_LiThAsO
_chemical_formula_sum 'Li2 Th2 As2 O2'
_cell_length_a 3.983
_cell_length_b 3.983
_cell_length_c 8.971
_cell_angle_alpha 90.00
_cell_angle_beta 90.00
_cell_angle_gamma 90.00
_symmetry_space_group_name_H-M 'P 1'
_symmetry_Int_Tables_number 1
_symmetry_space_group_name_Hall 'P 1'
loop_
_atom_site_label
_atom_site_type_symbol
_atom_site_fract_x
_atom_site_fract_y
_atom_site_fract_z
Li1 Li 0.000 0.000 0.500
Li2 Li 0.500 0.500 0.500
Th1 Th 0.000 0.500 0.850
Th2 Th 0.500 0.000 0.150
As1 As 0.500 0.000 0.687
As2 As 0.000 0.500 0.313
O1 O 0.500 0.500 0.000
O2 O 0.000 0.000 0.000
```



Entry 3:
Below is BaPbAu after structural relaxation, with properties calculated at the PBE-GGA level.

Output
The density of states at the Fermi level is 0.533 states/eV/f.u. The value obtained for the total energy is -3.57 eV per atom. The space group is No. 187. The calculation puts the formation energy at -597.8 meV per atom.

```
data_BaPbAu
_chemical_formula_sum 'Ba1 Pb1 Au1'
_cell_length_a 5.148
_cell_length_b 5.148
_cell_length_c 4.211
_cell_angle_alpha 90.00
_cell_angle_beta 90.00
_cell_angle_gamma 120.00
_symmetry_space_group_name_H-M 'P 1'
_symmetry_Int_Tables_number 1
_symmetry_space_group_name_Hall 'P 1'
loop_
_atom_site_label
_atom_site_type_symbol
_atom_site_fract_x
_atom_site_fract_y
_atom_site_fract_z
Pb1 Pb 0.333 0.667 0.833
Au1 Au 0.000 0.000 0.833
Ba1 Ba 0.667 0.333 0.334
```



Entry 4:
Below is HfCo5P3 after structural relaxation, with properties calculated at the PBE-GGA level.

Output
The density of states at the Fermi level is 6.036 states/eV/f.u. The value obtained for the total energy is -7.47 eV per atom. The space group is No. 63. The calculation puts the formation energy at -616.9 meV per atom.

```
data_HfCo5P3
_chemical_formula_sum 'Hf2 Co10 P6'
_cell_length_a 3.471
_cell_length_b 5.983
_cell_length_c 11.225
_cell_angle_alpha 90.00
_cell_angle_beta 90.00
_cell_angle_gamma 106.86
_symmetry_space_group_name_H-M 'P 1'
_symmetry_Int_Tables_number 1
_symmetry_space_group_name_Hall 'P 1'
loop_
_atom_site_label
_atom_site_type_symbol
_atom_site_fract_x
_atom_site_fract_y
_atom_site_fract_z
Hf1 Hf 0.878 0.756 0.750
Hf2 Hf 0.122 0.244 0.250
Co1 Co 0.798 0.596 0.425
Co2 Co 0.202 0.404 0.925
Co3 Co 0.000 0.000 0.500
Co4 Co 0.000 0.000 0.000
Co5 Co 0.453 0.905 0.145
Co6 Co 0.547 0.095 0.855
Co7 Co 0.547 0.095 0.645
Co8 Co 0.798 0.596 0.075
Co9 Co 0.202 0.404 0.575
Co10 Co 0.453 0.905 0.355
P1 P 0.382 0.764 0.958
P2 P 0.880 0.760 0.250
P3 P 0.382 0.764 0.542
P4 P 0.618 0.236 0.458
P5 P 0.120 0.240 0.750
P6 P 0.618 0.236 0.042
```



Entry 5:
Below is LaPrGa2Rh2 after structural relaxation, with properties calculated at the PBE-GGA level.

Output
The density of states at the Fermi level is 4.577 states/eV/f.u. The value obtained for the total energy is -5.85 eV per atom. The space group is No. 164. The calculation puts the formation energy at -772.3 meV per atom.

```
data_LaPrGa2Rh2
_chemical_formula_sum 'La1 Pr1 Ga2 Rh2'
_cell_length_a 4.394
_cell_length_b 4.394
_cell_length_c 7.917
_cell_angle_alpha 90.00
_cell_angle_beta 90.00
_cell_angle_gamma 120.00
_symmetry_space_group_name_H-M 'P 1'
_symmetry_Int_Tables_number 1
_symmetry_space_group_name_Hall 'P 1'
loop_
_atom_site_label
_atom_site_type_symbol
_atom_site_fract_x
_atom_site_fract_y
_atom_site_fract_z
La1 La 0.000 0.000 0.000
Pr1 Pr 0.000 0.000 0.500
Ga1 Ga 0.667 0.333 0.744
Ga2 Ga 0.333 0.667 0.256
Rh1 Rh 0.667 0.333 0.245
Rh2 Rh 0.333 0.667 0.755
```



Entry 6:
Below is BaCrCu after structural relaxation, with properties calculated at the PBE-GGA level.

Output
The density of states at the Fermi level is 2.900 states/eV/f.u. The value obtained for the relative energy among the computed polymorphs is 81 meV per atom. The value obtained for the total energy is -4.64 eV per atom. The space group is No. 107. The calculation puts the formation energy at 574.7 meV per atom.

```
data_BaCrCu
_chemical_formula_sum 'Ba1 Cr1 Cu1'
_cell_length_a 6.301
_cell_length_b 6.301
_cell_length_c 6.301
_cell_angle_alpha 146.56
_cell_angle_beta 146.56
_cell_angle_gamma 48.02
_symmetry_space_group_name_H-M 'P 1'
_symmetry_Int_Tables_number 1
_symmetry_space_group_name_Hall 'P 1'
loop_
_atom_site_label
_atom_site_type_symbol
_atom_site_fract_x
_atom_site_fract_y
_atom_site_fract_z
Ba1 Ba 0.004 0.004 0.000
Cr1 Cr 0.281 0.281 0.000
Cu1 Cu 0.715 0.715 0.000
```